one:
LiHfSb3 after structural relaxation, computed with PBE.

The structure in CIF format:
```
data_LiHfSb3
_chemical_formula_sum 'Li1 Hf1 Sb3'
_cell_length_a 4.945
_cell_length_b 4.945
_cell_length_c 4.945
_cell_angle_alpha 90.00
_cell_angle_beta 90.00
_cell_angle_gamma 90.00
_space_group_name_H-M_alt 'P m -3 m'
_space_group_IT_number 221
_space_group_name_Hall '-P 4 2 3'
loop_
_atom_site_label
_atom_site_type_symbol
_atom_site_fract_x
_atom_site_fract_y
_atom_site_fract_z
_atom_site_occupancy
Li1 Li 0.000 0.000 0.000 1
Hf1 Hf 0.500 0.500 0.500 1
Sb1 Sb 0.000 0.000 0.500 1
```

Size of the total moment: 0.000 μB per formula unit
Fermi-level density of states: 4.03 states/eV per cell

***

two:
LiHfSb3 after structural relaxation, computed with PBE.

The structure in CIF format:
```
data_LiHfSb3
_chemical_formula_sum 'Li1 Hf1 Sb3'
_cell_length_a 5.531
_cell_length_b 5.531
_cell_length_c 5.531
_cell_angle_alpha 90.00
_cell_angle_beta 90.00
_cell_angle_gamma 90.00
_space_group_name_H-M_alt 'P m -3 m'
_space_group_IT_number 221
_space_group_name_Hall '-P 4 2 3'
loop_
_atom_site_label
_atom_site_type_symbol
_atom_site_fract_x
_atom_site_fract_y
_atom_site_fract_z
_atom_site_occupancy
Li1 Li 0.000 0.000 0.000 1
Hf1 Hf 0.500 0.500 0.500 1
Sb1 Sb 0.000 0.500 0.500 1
```

Size of the total moment: 0.000 μB per formula unit
Fermi-level density of states: 4.57 states/eV per cell

***

The structure with the least stability is one.

***

one:
LiHf2Sb2 after structural relaxation, computed with PBE.

The structure in CIF format:
```
data_LiHf2Sb2
_chemical_formula_sum 'Li2 Hf4 Sb4'
_cell_length_a 7.951
_cell_length_b 7.951
_cell_length_c 3.686
_cell_angle_alpha 90.00
_cell_angle_beta 90.00
_cell_angle_gamma 90.00
_space_group_name_H-M_alt 'P 4/m b m'
_space_group_IT_number 127
_space_group_name_Hall '-P 4 2ab'
loop_
_atom_site_label
_atom_site_type_symbol
_atom_site_fract_x
_atom_site_fract_y
_atom_site_fract_z
_atom_site_occupancy
Li1 Li 0.000 0.000 0.000 1
Hf1 Hf 0.134 0.366 0.000 1
Sb1 Sb 0.161 0.661 0.500 1
```

Size of the total moment: 0.000 μB per formula unit
Fermi-level density of states: 10.35 states/eV per cell

***

two:
LiHf2Sb2 after structural relaxation, computed with PBE.

The structure in CIF format:
```
data_LiHf2Sb2
_chemical_formula_sum 'Li2 Hf4 Sb4'
_cell_length_a 7.733
_cell_length_b 7.733
_cell_length_c 3.780
_cell_angle_alpha 90.00
_cell_angle_beta 90.00
_cell_angle_gamma 90.00
_space_group_name_H-M_alt 'P 4/m b m'
_space_group_IT_number 127
_space_group_name_Hall '-P 4 2ab'
loop_
_atom_site_label
_atom_site_type_symbol
_atom_site_fract_x
_atom_site_fract_y
_atom_site_fract_z
_atom_site_occupancy
Li1 Li 0.000 0.000 0.000 1
Hf1 Hf 0.141 0.359 0.500 1
Sb1 Sb 0.155 0.655 0.000 1
```

Size of the total moment: 0.000 μB per formula unit
Fermi-level density of states: 7.39 states/eV per cell

***

The structure with the least stability is one.

***

one:
LiHfSbTe2 after structural relaxation, computed with PBE.

The structure in CIF format:
```
data_LiHfSbTe2
_chemical_formula_sum 'Li1 Hf1 Sb1 Te2'
_cell_length_a 5.112
_cell_length_b 5.112
_cell_length_c 4.771
_cell_angle_alpha 90.00
_cell_angle_beta 90.00
_cell_angle_gamma 90.00
_space_group_name_H-M_alt 'P 4/m m m'
_space_group_IT_number 123
_space_group_name_Hall '-P 4 2'
loop_
_atom_site_label
_atom_site_type_symbol
_atom_site_fract_x
_atom_site_fract_y
_atom_site_fract_z
_atom_site_occupancy
Li1 Li 0.000 0.000 0.000 1
Hf1 Hf 0.500 0.500 0.500 1
Sb1 Sb 0.000 0.000 0.500 1
Te1 Te 0.000 0.500 0.000 1
```

Size of the total moment: 0.000 μB per formula unit
Fermi-level density of states: 5.02 states/eV per cell

***

two:
LiHfSbTe2 after structural relaxation, computed with PBE.

The structure in CIF format:
```
data_LiHfSbTe2
_chemical_formula_sum 'Li1 Hf1 Sb1 Te2'
_cell_length_a 5.602
_cell_length_b 5.602
_cell_length_c 5.567
_cell_angle_alpha 90.00
_cell_angle_beta 90.00
_cell_angle_gamma 90.00
_space_group_name_H-M_alt 'P 4/m m m'
_space_group_IT_number 123
_space_group_name_Hall '-P 4 2'
loop_
_atom_site_label
_atom_site_type_symbol
_atom_site_fract_x
_atom_site_fract_y
_atom_site_fract_z
_atom_site_occupancy
Li1 Li 0.000 0.000 0.000 1
Hf1 Hf 0.500 0.500 0.500 1
Sb1 Sb 0.500 0.500 0.000 1
Te1 Te 0.000 0.500 0.500 1
```

Size of the total moment: 0.000 μB per formula unit
Fermi-level density of states: 4.34 states/eV per cell

***

The structure with the least stability is one.

***

one:
LiHfSb2Te after structural relaxation, computed with PBE.

The structure in CIF format:
```
data_LiHfSb2Te
_chemical_formula_sum 'Li1 Hf1 Sb2 Te1'
_cell_length_a 4.880
_cell_length_b 4.880
_cell_length_c 5.153
_cell_angle_alpha 90.00
_cell_angle_beta 90.00
_cell_angle_gamma 90.00
_space_group_name_H-M_alt 'P 4/m m m'
_space_group_IT_number 123
_space_group_name_Hall '-P 4 2'
loop_
_atom_site_label
_atom_site_type_symbol
_atom_site_fract_x
_atom_site_fract_y
_atom_site_fract_z
_atom_site_occupancy
Li1 Li 0.000 0.000 0.000 1
Hf1 Hf 0.500 0.500 0.500 1
Sb1 Sb 0.000 0.500 0.000 1
Te1 Te 0.000 0.000 0.500 1
```

Size of the total moment: 0.000 μB per formula unit
Fermi-level density of states: 3.93 states/eV per cell

***

two:
LiHfSb2Te after structural relaxation, computed with PBE.

The structure in CIF format:
```
data_LiHfSb2Te
_chemical_formula_sum 'Li1 Hf1 Sb2 Te1'
_cell_length_a 5.546
_cell_length_b 5.546
_cell_length_c 5.607
_cell_angle_alpha 90.00
_cell_angle_beta 90.00
_cell_angle_gamma 90.00
_space_group_name_H-M_alt 'P 4/m m m'
_space_group_IT_number 123
_space_group_name_Hall '-P 4 2'
loop_
_atom_site_label
_atom_site_type_symbol
_atom_site_fract_x
_atom_site_fract_y
_atom_site_fract_z
_atom_site_occupancy
Li1 Li 0.000 0.000 0.000 1
Hf1 Hf 0.500 0.500 0.500 1
Sb1 Sb 0.000 0.500 0.500 1
Te1 Te 0.500 0.500 0.000 1
```

Size of the total moment: 0.000 μB per formula unit
Fermi-level density of states: 4.00 states/eV per cell

***

The structure with the least stability is one.